Entry 1:
DFT (SCAN) results for a PBEsol-optimized structure of TiN. Values from VASP.

Cell and atoms, written as Quantum ESPRESSO input:
```
&SYSTEM
  ibrav = 0, nat = 2, ntyp = 2
/
ATOMIC_SPECIES
Ti 47.87 Ti.upf
N 14.01 N.upf
CELL_PARAMETERS angstrom
2.9767 0.0000 0.0000
1.4884 2.5779 0.0000
1.4884 0.8593 2.4305
ATOMIC_POSITIONS angstrom
Ti 0.0000 0.0000 0.0000
N 2.9767 1.7186 1.2152
```

Values from the calculation:
**ΔE_f (raw)**: -1.9586 eV per atom
**Magnetization**: 0.000 μB per atom
**E**: -14.619 eV/atom
**Crystal system**: cubic
**Calculated volume**: 9.3 Å³/atom

***

Entry 2:
DFT (SCAN) results for a PBEsol-optimized structure of PbW2Br. Values from VASP.

Cell and atoms, written as Quantum ESPRESSO input:
```
&SYSTEM
  ibrav = 0, nat = 4, ntyp = 3
/
ATOMIC_SPECIES
Br 79.90 Br.upf
Pb 207.20 Pb.upf
W 183.84 W.upf
CELL_PARAMETERS angstrom
-0.1949 -3.0771 1.1843
3.9736 -0.9197 -2.1171
0.6911 3.4555 4.6769
ATOMIC_POSITIONS angstrom
Br -0.0974 -1.5385 0.5921
Pb 1.9868 -0.4599 -1.0585
W 0.3456 1.7277 2.3384
W 2.2349 -0.2707 1.8720
```

Values from the calculation:
**Energy relative to the lowest polymorph listed for this composition**: 117 meV/atom
**ΔE_f (raw)**: 1.4738 eV per atom
**Magnetization**: 0.000 μB per atom
**E**: -57.180 eV/atom
**Crystal system**: monoclinic
**Calculated volume**: 19.5 Å³/atom